[1]
10
Lattice="3.599 2.078 6.329 -3.599 2.078 6.329 0.000 -4.155 6.329" Properties=species:S:1:pos:R:3 comment="AcHoBi2S6 | Alexandria | PBE | relaxed" magnetic_moment_mub_per_fu=0.00 density_g_cm3=5.9 dos_at_fermi_per_ev_cell=0.0 dft_energy_ev_per_atom=-5.327 pbc="T T T"
Ac 0.000 0.000 0.000
Ho 0.000 0.000 9.321
Bi 0.000 0.000 5.475
Bi 0.000 0.000 15.076
S -2.048 -0.143 7.463
S -1.387 -2.011 10.570
S 1.148 -1.702 7.463
S -1.048 2.206 10.570
S 0.900 1.845 7.463
S 2.435 -0.196 10.570

[2]
16
Lattice="4.806 0.000 0.000 0.000 4.806 0.000 0.000 0.000 19.291" Properties=species:S:1:pos:R:3 comment="SrCd2Os | Alexandria | PBE | relaxed" magnetic_moment_mub_per_fu=0.06 e_form_kcal_per_mol_atoms=14.85 density_g_cm3=7.5 dos_at_fermi_per_ev_cell=12.1 dft_energy_ev_per_atom=-3.041 pbc="T T T"
Sr 0.000 0.000 0.000
Sr 0.000 2.403 4.823
Sr 2.403 0.000 14.468
Sr 2.403 2.403 9.645
Cd 0.634 1.202 12.057
Cd 1.202 3.037 16.880
Cd 1.202 4.173 7.234
Cd 1.769 1.202 2.411
Cd 3.037 3.605 2.411
Cd 3.605 0.634 7.234
Cd 3.605 1.769 16.880
Cd 4.173 3.605 12.057
Os 0.000 0.000 9.645
Os 0.000 2.403 14.468
Os 2.403 0.000 4.823
Os 2.403 2.403 0.000

[3]
4
Lattice="2.793 0.000 0.000 0.000 4.606 0.000 0.000 0.000 4.628" Properties=species:S:1:pos:R:3 comment="AsIr2Ru | Alexandria | PBE | relaxed" magnetic_moment_mub_per_fu=0.01 e_form_kcal_per_mol_atoms=6.20 density_g_cm3=15.6 dos_at_fermi_per_ev_cell=5.2 dft_energy_ev_per_atom=-7.643 pbc="T T T"
As 0.000 0.000 0.000
Ir 0.000 2.303 2.314
Ir 1.396 0.000 2.314
Ru 1.396 2.303 0.000

[4]
8
Lattice="8.158 0.000 0.000 0.000 4.110 0.000 -0.328 0.000 7.433" Properties=species:S:1:pos:R:3 comment="BaN | Alexandria | PBE | relaxed" magnetic_moment_mub_per_fu=0.00 density_g_cm3=4.0 dos_at_fermi_per_ev_cell=7.2 dft_energy_ev_per_atom=-5.567 pbc="T T T"
Ba 1.029 0.000 2.201
Ba 2.721 2.055 5.232
Ba 5.109 2.055 2.201
Ba 6.800 0.000 5.232
N 0.411 2.055 4.017
N 3.339 0.000 3.415
N 4.490 0.000 4.017
N 7.419 2.055 3.415

[5]
14
Lattice="0.000 10.741 4.410 4.515 0.000 4.410 4.515 10.741 0.000" Properties=species:S:1:pos:R:3 comment="Tb2Tm4Mg | Alexandria | PBE | relaxed" polymorph_energy_ev_per_atom=0.031 magnetic_moment_mub_per_fu=0.00 e_form_kcal_per_mol_atoms=3.24 density_g_cm3=7.9 dos_at_fermi_per_ev_cell=22.4 dft_energy_ev_per_atom=-3.965 pbc="T T T"
Tb 4.948 4.996 4.410
Tb 6.341 10.366 6.615
Tb 4.083 16.486 4.410
Tb 2.690 11.116 6.615
Tm 6.311 8.118 3.796
Tm 8.594 12.438 5.113
Tm 1.821 3.673 2.908
Tm 2.695 7.068 2.908
Tm 4.053 7.993 6.001
Tm 2.720 13.363 3.796
Tm 4.978 13.489 6.001
Tm 4.952 19.784 5.113
Mg 4.515 10.741 3.878
Mg 6.773 16.111 6.082

[6]
9
Lattice="6.914 -2.948 0.000 6.914 2.948 0.000 -1.544 0.000 4.362" Properties=species:S:1:pos:R:3 comment="Ti6CoHg2 | Alexandria | PBE | relaxed" magnetic_moment_mub_per_fu=2.10 e_form_kcal_per_mol_atoms=6.47 density_g_cm3=7.0 dos_at_fermi_per_ev_cell=11.6 dft_energy_ev_per_atom=-5.839 pbc="T T T"
Ti 4.523 1.444 1.608
Ti 6.914 1.489 0.000
Ti 7.760 1.444 2.754
Ti 4.523 -1.444 1.608
Ti 6.914 -1.489 0.000
Ti 7.760 -1.444 2.754
Co -0.772 0.000 2.181
Hg 3.052 0.000 3.542
Hg 9.231 0.000 0.821

[7]
8
Lattice="4.866 0.000 0.000 0.000 4.880 0.000 0.000 0.000 10.011" Properties=species:S:1:pos:R:3 comment="Ca2MgZr | Alexandria | PBE | relaxed" magnetic_moment_mub_per_fu=0.00 e_form_kcal_per_mol_atoms=4.67 density_g_cm3=2.7 dos_at_fermi_per_ev_cell=12.6 dft_energy_ev_per_atom=-3.334 pbc="T T T"
Ca 0.000 0.000 2.473
Ca 0.000 0.000 7.538
Ca 2.433 2.440 2.473
Ca 2.433 2.440 7.538
Mg 0.000 2.440 5.006
Mg 2.433 0.000 5.006
Zr 0.000 2.440 0.000
Zr 2.433 0.000 0.000

[8]
5
Lattice="4.698 0.000 0.000 0.000 4.698 0.000 0.000 0.000 5.277" Properties=species:S:1:pos:R:3 comment="SrLi2NbGa | Alexandria | PBE | relaxed" magnetic_moment_mub_per_fu=0.00 e_form_kcal_per_mol_atoms=33.69 density_g_cm3=3.8 dos_at_fermi_per_ev_cell=4.3 dft_energy_ev_per_atom=-2.260 pbc="T T T"
Sr 0.000 0.000 0.000
Li 0.000 2.349 0.000
Li 2.349 0.000 0.000
Nb 0.000 0.000 2.639
Ga 2.349 2.349 2.639